1.
A geometry-optimized Sm3Dy4PuS8 structure. Source: Alexandria, functional PBE.

Values from the calculation:
The value obtained for the raw formation energy is -1.990 eV/atom. The calculation puts the total magnetization at 17.343 μB per cell. As for the total energy: -6.985 eV/atom.

```
data_Sm3Dy4PuS8
_symmetry_space_group_name_H-M 'R -3 m'
_symmetry_Int_Tables_number 166
_symmetry_space_group_name_Hall '-R 3 2"'
_cell_length_a 7.8931
_cell_length_b 7.8931
_cell_length_c 19.3946
_cell_angle_alpha 90.00
_cell_angle_beta 90.00
_cell_angle_gamma 120.00
loop_
_atom_site_label
_atom_site_type_symbol
_atom_site_fract_x
_atom_site_fract_y
_atom_site_fract_z
Sm1 Sm 0.0000 0.5000 0.0000
Dy1 Dy 0.0000 0.0000 0.5000
Dy2 Dy 0.0000 0.5000 0.5000
Pu1 Pu 0.0000 0.0000 0.0000
S1 S 0.0000 0.0000 0.2467
S2 S 0.0023 0.5011 0.7526
```

---

2.
A geometry-optimized AuO structure. Source: Alexandria, functional PBE.

Values from the calculation:
The value obtained for the raw formation energy is 0.227 eV/atom. The calculation puts the total magnetization at 0.000 μB per cell. As for the total energy: -3.890 eV/atom.

```
data_AuO
_symmetry_space_group_name_H-M 'P m m n'
_symmetry_Int_Tables_number 59
_cell_length_a 4.195
_cell_length_b 9.872
_cell_length_c 4.621
_cell_angle_alpha 90.00
_cell_angle_beta 90.00
_cell_angle_gamma 90.00
loop_
_symmetry_equiv_pos_as_xyz
'x,y,z'
'-x,-y,-z'
'-x+1/2,-y+1/2,z'
'x+1/2,y+1/2,-z'
'x+1/2,-y,-z'
'-x+1/2,y,z'
'-x,y+1/2,-z'
'x,-y+1/2,z'
loop_
_atom_site_label
_atom_site_type_symbol
_atom_site_fract_x
_atom_site_fract_y
_atom_site_fract_z
Au1 Au 0.250 0.087 0.193
Au2 Au 0.250 0.750 0.374
O1 O 0.250 0.250 0.492
O2 O 0.250 0.569 0.895
```

---

3.
A geometry-optimized Na3ReS structure. Source: Alexandria, functional PBE.

Values from the calculation:
The value obtained for the raw formation energy is 1.355 eV/atom. The calculation puts the total magnetization at 4.000 μB per cell. The calculation puts the energy above the most stable polymorph in this dataset at 0.6404 eV/atom. As for the total energy: -2.751 eV/atom.

```
data_Na3ReS
_symmetry_space_group_name_H-M 'P m -3 m'
_symmetry_Int_Tables_number 221
_symmetry_space_group_name_Hall '-P 4 2 3'
_cell_length_a 5.637
_cell_length_b 5.637
_cell_length_c 5.637
_cell_angle_alpha 90.00
_cell_angle_beta 90.00
_cell_angle_gamma 90.00
loop_
_atom_site_label
_atom_site_type_symbol
_atom_site_fract_x
_atom_site_fract_y
_atom_site_fract_z
Na1 Na 0.000 0.000 0.500
Re1 Re 0.000 0.000 0.000
S1 S 0.500 0.500 0.500
```

---

4.
A geometry-optimized Ba2InHg10 structure. Source: Alexandria, functional PBE.

Values from the calculation:
The calculation puts the total magnetization at 0.000 μB per cell. As for the total energy: -0.916 eV/atom. The formation energy is -2.31 eV per formula unit.

```
data_Ba2InHg10
_symmetry_space_group_name_H-M 'P b a m'
_symmetry_Int_Tables_number 55
_cell_length_a 10.728
_cell_length_b 12.520
_cell_length_c 6.563
_cell_angle_alpha 90.00
_cell_angle_beta 90.00
_cell_angle_gamma 90.00
loop_
_symmetry_equiv_pos_as_xyz
'x,y,z'
'-x,-y,-z'
'-x,-y,z'
'x,y,-z'
'x+1/2,-y+1/2,-z'
'-x+1/2,y+1/2,z'
'-x+1/2,y+1/2,-z'
'x+1/2,-y+1/2,z'
loop_
_atom_site_label
_atom_site_type_symbol
_atom_site_fract_x
_atom_site_fract_y
_atom_site_fract_z
Ba1 Ba 0.200 0.081 0.000
In1 In 0.000 0.000 0.500
Hg1 Hg 0.044 0.624 0.500
Hg2 Hg 0.098 0.812 0.220
Hg3 Hg 0.170 0.206 0.500
Hg4 Hg 0.223 0.445 0.500
```

---

5.
A geometry-optimized BeTePd structure. Source: Alexandria, functional PBE.

Values from the calculation:
The value obtained for the raw formation energy is -0.078 eV/atom. The calculation puts the total magnetization at 0.000 μB per cell. As for the total energy: -4.098 eV/atom.

```
data_BeTePd
_symmetry_space_group_name_H-M 'P n m a'
_symmetry_Int_Tables_number 62
_cell_length_a 5.654
_cell_length_b 3.825
_cell_length_c 10.901
_cell_angle_alpha 90.00
_cell_angle_beta 90.00
_cell_angle_gamma 90.00
loop_
_symmetry_equiv_pos_as_xyz
'x,y,z'
'-x,-y,-z'
'-x+1/2,-y,z+1/2'
'x+1/2,y,-z+1/2'
'x+1/2,-y+1/2,-z+1/2'
'-x+1/2,y+1/2,z+1/2'
'-x,y+1/2,-z'
'x,-y+1/2,z'
loop_
_atom_site_label
_atom_site_type_symbol
_atom_site_fract_x
_atom_site_fract_y
_atom_site_fract_z
Be1 Be 0.008 0.250 0.072
Te1 Te 0.237 0.250 0.632
Pd1 Pd 0.236 0.250 0.892
```

---

6.
A geometry-optimized Tm3Co5Se12 structure. Source: Alexandria, functional PBE.

Values from the calculation:
The value obtained for the raw formation energy is -0.685 eV/atom. The calculation puts the total magnetization at 54.717 μB per cell. As for the total energy: -5.223 eV/atom.

```
data_Tm3Co5Se12
_symmetry_space_group_name_H-M 'I a -3 d'
_symmetry_Int_Tables_number 230
_symmetry_space_group_name_Hall '-I 4bd 2c 3'
_cell_length_a 15.104
_cell_length_b 15.104
_cell_length_c 15.104
_cell_angle_alpha 90.00
_cell_angle_beta 90.00
_cell_angle_gamma 90.00
loop_
_atom_site_label
_atom_site_type_symbol
_atom_site_fract_x
_atom_site_fract_y
_atom_site_fract_z
Tm1 Tm 0.000 0.250 0.125
Co1 Co 0.000 0.000 0.000
Co2 Co 0.000 0.250 0.375
Se1 Se 0.029 0.057 0.646
```

---

7.
A geometry-optimized CoCuP2 structure. Source: Alexandria, functional PBE.

Values from the calculation:
The calculation puts the total magnetization at 0.240 μB per cell. As for the total energy: -5.415 eV/atom. The formation energy is 0.36 eV per formula unit.

```
data_CoCuP2
_symmetry_space_group_name_H-M 'P 4 m m'
_symmetry_Int_Tables_number 99
_cell_length_a 2.694
_cell_length_b 2.694
_cell_length_c 7.291
_cell_angle_alpha 90.00
_cell_angle_beta 90.00
_cell_angle_gamma 90.00
loop_
_symmetry_equiv_pos_as_xyz
'x,y,z'
'-y,x,z'
'-x,-y,z'
'y,-x,z'
'-x,y,z'
'y,x,z'
'x,-y,z'
'-y,-x,z'
loop_
_atom_site_label
_atom_site_type_symbol
_atom_site_fract_x
_atom_site_fract_y
_atom_site_fract_z
Co1 Co 0.000 0.000 0.000
Cu1 Cu 0.500 0.500 0.254
P1 P 0.000 0.000 0.476
P2 P 0.500 0.500 0.837
```

---

8.
A geometry-optimized CeTmFeRu structure. Source: Alexandria, functional PBE.

Values from the calculation:
The calculation puts the total magnetization at 4.758 μB per cell. As for the total energy: -7.181 eV/atom. The formation energy is -0.58 eV per formula unit.

```
data_CeTmFeRu
_symmetry_space_group_name_H-M 'F -4 3 m'
_symmetry_Int_Tables_number 216
_symmetry_space_group_name_Hall 'F -4 2 3'
_cell_length_a 6.770
_cell_length_b 6.770
_cell_length_c 6.770
_cell_angle_alpha 90.00
_cell_angle_beta 90.00
_cell_angle_gamma 90.00
loop_
_atom_site_label
_atom_site_type_symbol
_atom_site_fract_x
_atom_site_fract_y
_atom_site_fract_z
Ce1 Ce 0.000 0.000 0.000
Tm1 Tm 0.000 0.000 0.500
Fe1 Fe 0.250 0.250 0.750
Ru1 Ru 0.250 0.250 0.250
```

---

9.
A geometry-optimized Li2YPt structure. Source: Alexandria, functional PBE.

Values from the calculation:
The calculation puts the total magnetization at 0.000 μB per cell. The calculation puts the energy above the most stable polymorph in this dataset at 0.0062 eV/atom. As for the total energy: -4.629 eV/atom. The formation energy is -2.19 eV per formula unit.

```
data_Li2YPt
_symmetry_space_group_name_H-M 'C 1 m 1'
_symmetry_Int_Tables_number 8
_cell_length_a 7.728
_cell_length_b 4.462
_cell_length_c 5.122
_cell_angle_alpha 90.00
_cell_angle_beta 120.30
_cell_angle_gamma 90.00
loop_
_symmetry_equiv_pos_as_xyz
'x,y,z'
'x,-y,z'
'x+1/2,y+1/2,z'
'x+1/2,-y+1/2,z'
loop_
_atom_site_label
_atom_site_type_symbol
_atom_site_fract_x
_atom_site_fract_y
_atom_site_fract_z
Li1 Li 0.000 0.000 0.000
Li2 Li 0.227 0.500 0.184
Y1 Y 0.212 0.000 0.638
Pt1 Pt 0.435 0.000 0.306
```

---

10.
A geometry-optimized YGa6Fe6 structure. Source: Alexandria, functional PBE.

Values from the calculation:
The calculation puts the total magnetization at 53.680 μB per cell. The calculation puts the energy above the most stable polymorph in this dataset at 0.1433 eV/atom. As for the total energy: -5.971 eV/atom. The formation energy is -2.22 eV per formula unit.

```
data_YGa6Fe6
_symmetry_space_group_name_H-M 'F m m m'
_symmetry_Int_Tables_number 69
_symmetry_space_group_name_Hall '-F 2 2'
_cell_length_a 5.195
_cell_length_b 12.040
_cell_length_c 12.234
_cell_angle_alpha 90.00
_cell_angle_beta 90.00
_cell_angle_gamma 90.00
loop_
_atom_site_label
_atom_site_type_symbol
_atom_site_fract_x
_atom_site_fract_y
_atom_site_fract_z
Y1 Y 0.000 0.000 0.000
Ga1 Ga 0.000 0.167 0.184
Ga2 Ga 0.250 0.250 0.000
Fe1 Fe 0.000 0.102 0.392
Fe2 Fe 0.250 0.000 0.250
```